Record 1
Pr3NdCl2O2 | OQMD | PBE | optimized geometry; V = 164 Å³ per cell; uncorrected energy = -48.7 eV per cell
1.0
3.651 0.000 0.000
-1.826 3.162 0.000
0.000 0.000 14.206
O Pr Cl Nd
2 3 2 1
Direct
0.667 0.333 0.500
0.667 0.333 0.997
0.333 0.667 0.403
0.333 0.667 0.096
0.000 0.000 0.598
0.333 0.667 0.753
0.000 0.000 0.250
0.000 0.000 0.904

=====

Record 2
PrNdClO | OQMD | PBE | optimized geometry; V = 163 Å³ per cell; uncorrected energy = -48.7 eV per cell
1.0
-1.868 2.933 1.075
-1.433 -3.321 0.408
5.891 -0.963 12.871
Cl Nd Pr O
2 2 2 2
Direct
0.667 0.333 0.747
0.333 0.667 0.253
0.333 0.667 0.595
0.667 0.333 0.405
0.333 0.667 0.901
0.667 0.333 0.099
0.000 0.000 0.000
0.000 0.000 0.500